A plane-wave DFT calculation with meta-GGA SCAN was carried out for a crystal of CdBi2Au2 relaxed with PBEsol.

Computed properties:
Energy of formation   0.0106 eV per atom
Symmetry   P4/mbm
VASP energy   -65.167 eV per atom
Size of the total moment   0.000 μB/atom

Structure (POSCAR):
```
CdBi2Au2
1.0
4.317 0.000 0.000
0.000 7.343 0.000
0.000 0.000 7.343
Au Bi Cd
4 4 2
Direct
0.000 0.865 0.635
0.000 0.135 0.365
0.000 0.365 0.865
0.000 0.635 0.135
0.500 0.329 0.171
0.500 0.829 0.329
0.500 0.171 0.671
0.500 0.671 0.829
0.000 0.500 0.500
0.000 0.000 0.000
```